Material: Ta2TiRhO
Method: DFT, meta-GGA SCAN
State: PBEsol geometry

Output
Density of states at the Fermi level, states/eV per cell: 4.44
ΔE_f (raw), eV/atom: -0.97
Calculated volume, Å³/atom: 14.0
Space group: No. 123
Total magnetization, μB per cell: 0.000
Theoretical density, g/cm³: 12.573

abc: 3.996 4.180 4.180
angles: 90.00 90.00 90.00
Sites, in units of the cell vectors:
Ta 0.000 0.500 0.000
Ti 0.500 0.000 0.000
O 0.000 0.000 0.000
Ta 0.000 0.000 0.500
Rh 0.500 0.500 0.500



Material: Hg2POs
Method: DFT, meta-GGA SCAN
State: PBEsol geometry

Output
Density of states at the Fermi level, states/eV per cell: 2.42
Calculated volume, Å³/atom: 17.7
E_tot, eV per atom: -53.683
Space group: No. 65
Total magnetization, μB per cell: 0.000
Theoretical density, g/cm³: 14.577

abc: 2.778 2.873 10.151
angles: 90.00 90.00 118.91
Sites, in units of the cell vectors:
P 0.500 0.000 0.000
Os 0.500 0.000 0.500
Hg 0.000 0.000 0.743
Hg 0.000 0.000 0.257



Material: Li2CaCu
Method: DFT, meta-GGA SCAN
State: PBEsol geometry

Output
Density of states at the Fermi level, states/eV per cell: 1.69
Calculated volume, Å³/atom: 20.4
Space group: No. 12
ΔE to the lowest computed polymorph, eV/f.u.: 0.05
Total magnetization, μB per cell: 0.007
Theoretical density, g/cm³: 2.391

abc: 3.443 4.781 5.774
angles: 114.66 107.34 90.00
Sites, in units of the cell vectors:
Cu 0.500 0.000 0.000
Li 0.792 0.791 0.583
Ca 0.000 0.500 0.000
Li 0.208 0.209 0.417



Material: YZrMo4
Method: DFT, meta-GGA SCAN
State: PBEsol geometry

Output
Density of states at the Fermi level, states/eV per cell: 5.15
Calculated volume, Å³/atom: 18.4
E_tot, eV per atom: -33.009
Space group: No. 216
Total magnetization, μB per cell: 0.000
Theoretical density, g/cm³: 8.493

abc: 5.382 5.382 5.382
angles: 60.00 60.00 60.00
Sites, in units of the cell vectors:
Mo 0.875 0.375 0.375
Mo 0.375 0.875 0.375
Mo 0.375 0.375 0.375
Zr 0.000 0.000 0.000
Y 0.750 0.750 0.750
Mo 0.375 0.375 0.875



Material: CuPtSe2
Method: DFT, meta-GGA SCAN
State: PBEsol geometry

Output
Density of states at the Fermi level, states/eV per cell: 1.94
ΔE_f (raw), eV/atom: 0.57
Calculated volume, Å³/atom: 16.1
Space group: No. 216
Total magnetization, μB per cell: 0.000
Theoretical density, g/cm³: 10.711

abc: 4.503 4.503 4.503
angles: 60.00 60.00 60.00
Sites, in units of the cell vectors:
Se 0.000 0.000 0.000
Pt 0.250 0.250 0.250
Cu 0.500 0.500 0.500
Se 0.750 0.750 0.750



Material: CdHg2Pb
Method: DFT, meta-GGA SCAN
State: PBEsol geometry

Output
Density of states at the Fermi level, states/eV per cell: 1.51
Calculated volume, Å³/atom: 24.6
E_tot, eV per atom: -60.580
Space group: No. 99
Total magnetization, μB per cell: 0.000
Theoretical density, g/cm³: 12.157

abc: 3.776 3.776 6.907
angles: 90.00 90.00 90.00
Sites, in units of the cell vectors:
Pb 0.000 0.000 0.498
Hg 0.000 0.000 0.996
Cd 0.500 0.500 0.776
Hg 0.500 0.500 0.231



What did the fourth record say?
Material: YZrMo4
Method: DFT, meta-GGA SCAN
State: PBEsol geometry

Output
Density of states at the Fermi level, states/eV per cell: 5.15
Calculated volume, Å³/atom: 18.4
E_tot, eV per atom: -33.009
Space group: No. 216
Total magnetization, μB per cell: 0.000
Theoretical density, g/cm³: 8.493

abc: 5.382 5.382 5.382
angles: 60.00 60.00 60.00
Sites, in units of the cell vectors:
Mo 0.875 0.375 0.375
Mo 0.375 0.875 0.375
Mo 0.375 0.375 0.375
Zr 0.000 0.000 0.000
Y 0.750 0.750 0.750
Mo 0.375 0.375 0.875